First-principles (PBE-GGA) data for SrTlCl3 after structural relaxation, as listed in the Alexandria database.

The structure in POSCAR format:
```
SrTlCl3
1.0
4.4060 0.0000 0.0000
0.0000 9.0521 0.5997
0.0000 -1.4108 8.6858
Sr Tl Cl
2 2 6
Direct
0.2500 0.8359 0.3406
0.7500 0.1641 0.6594
0.2500 0.3855 0.2023
0.7500 0.6145 0.7977
0.7500 0.6422 0.3993
0.2500 0.3578 0.6007
0.7500 0.3104 0.9608
0.2500 0.9473 0.6696
0.2500 0.6896 0.0392
0.7500 0.0527 0.3304
```

Output
**Formation energy from raw total energies**: -1.87 eV/atom
**Crystal system**: monoclinic

=====

First-principles (PBE-GGA) data for ZrTl2Pb after structural relaxation, as listed in the Alexandria database.

The structure in POSCAR format:
```
ZrTl2Pb
1.0
3.2912 0.0338 0.0000
-0.0271 3.2912 0.0000
0.0000 0.0000 10.1937
Pb Tl Zr
1 2 1
Direct
0.5000 0.5000 0.7171
0.0000 0.0000 0.0179
0.5000 0.5000 0.2758
0.0000 0.0000 0.4892
```

Output
**Calculated formation energy**: 0.028 eV/atom
**Crystal system**: orthorhombic

=====

First-principles (PBE-GGA) data for Pr2Sm6Er3 after structural relaxation, as listed in the Alexandria database.

The structure in POSCAR format:
```
Pr2Sm6Er3
1.0
-0.3820 -5.6718 -2.4527
2.7822 -1.2320 -5.3985
9.5164 -5.0215 4.8514
Pr Sm Er
2 6 3
Direct
0.1666 0.6667 0.5000
0.8334 0.3333 0.5000
0.4155 0.6673 0.7541
0.7485 0.0000 0.7539
0.0828 0.3327 0.7541
0.2515 0.0000 0.2461
0.5845 0.3327 0.2459
0.9172 0.6673 0.2459
0.0000 0.0000 0.0000
0.3345 0.3311 0.0000
0.6655 0.6689 0.0000
```

Output
**Calculated formation energy**: 0.170 eV/atom
**Crystal system**: monoclinic

=====

First-principles (PBE-GGA) data for TbTh3Sc3 after structural relaxation, as listed in the Alexandria database.

The structure in POSCAR format:
```
TbTh3Sc3
1.0
7.3389 -0.0273 2.3985
1.7312 7.1319 2.3985
-0.0348 -0.0273 7.7208
Tb Th Sc
2 6 6
Direct
0.2511 0.2511 0.2511
0.7489 0.7489 0.7489
0.6765 0.1145 0.9585
0.1145 0.9585 0.6765
0.9585 0.6765 0.1145
0.0415 0.3235 0.8855
0.8855 0.0415 0.3235
0.3235 0.8855 0.0415
0.6098 0.4649 0.1833
0.1833 0.6098 0.4649
0.4649 0.1833 0.6098
0.5351 0.8167 0.3902
0.8167 0.3902 0.5351
0.3902 0.5351 0.8167
```

Output
**Calculated formation energy**: 0.059 eV/atom
**Crystal system**: trigonal

=====

First-principles (PBE-GGA) data for YZr2TlTc after structural relaxation, as listed in the Alexandria database.

The structure in POSCAR format:
```
YZr2TlTc
1.0
5.2803 0.0000 0.0000
0.0000 4.7760 0.0000
0.0000 0.0000 5.2803
Y Tl Tc Zr
1 1 1 2
Direct
0.0000 0.0000 0.0000
0.5000 0.5000 0.5000
0.0000 0.5000 0.0000
0.0000 0.0000 0.5000
0.5000 0.0000 0.0000
```

Output
**Calculated formation energy**: 1.474 eV/atom
**Crystal system**: tetragonal

=====

First-principles (PBE-GGA) data for AcCeAl after structural relaxation, as listed in the Alexandria database.

The structure in POSCAR format:
```
AcCeAl
1.0
6.2976 0.0000 0.0000
3.1488 4.6618 0.0000
3.1488 0.0000 6.3612
Ce Ac Al
2 2 2
Direct
0.7500 0.5000 0.5000
0.2500 0.5000 0.5000
0.8229 0.3543 0.0000
0.1771 0.6457 0.0000
0.6092 0.0000 0.7817
0.3908 0.0000 0.2183
```

Output
**Calculated formation energy**: 0.098 eV/atom
**Crystal system**: orthorhombic

=====

| no. | energy (eV per atom) |
| --- | --- |
| 1 | -3.7876 |
| 2 | -4.2197 |
| 3 | -4.5180 |
| 4 | -6.4964 |
| 5 | -5.7843 |
| 6 | -4.4974 |